GGA-PBE Zr2AlN, optimized geometry; total DFT energy (no corrections) = -6.90 eV/atom; ΔE to the lowest computed polymorph = 1474 meV/atom; ΔE_f (raw) = 0.394 eV/atom; density of states at the Fermi level = 3.91 states/eV/cell
1.0
0.000 3.221 3.221
3.221 0.000 3.221
3.221 3.221 0.000
Al Zr N
1 2 1
Cartesian
3.221 3.221 3.221
4.832 4.832 4.832
1.611 1.611 1.611
0.000 0.000 0.000

GGA-PBE YThGa2, optimized geometry; ΔE_f = -339 meV per atom; total DFT energy (no corrections) = -5.32 eV/atom; ΔE to the lowest computed polymorph = 248 meV/atom; density of states at the Fermi level = 3.74 states/eV/cell
1.0
-1.886 -1.914 -2.586
-3.022 -1.960 0.966
-6.657 5.702 -2.056
Ga Th Y
2 1 1
Cartesian
-8.628 1.307 -2.744
-2.937 0.521 -0.933
0.000 0.000 0.000
-5.782 0.914 -1.838

GGA-PBE PmScBi3, optimized geometry; ΔE_f = -598 meV per atom; total DFT energy (no corrections) = -5.14 eV/atom; density of states at the Fermi level = 9.82 states/eV/cell
1.0
6.690 0.000 0.000
0.000 6.471 0.000
0.000 0.000 13.759
Bi Sc Pm
12 4 4
Cartesian
1.673 0.848 12.732
5.018 5.622 1.026
1.673 4.084 1.026
1.673 0.015 3.378
3.345 1.618 6.830
3.345 4.853 6.929
5.018 6.456 10.381
0.000 1.618 6.830
0.000 4.853 6.929
5.018 3.220 3.378
1.673 3.250 10.381
5.018 2.387 12.732
3.345 4.853 12.398
0.000 1.618 1.361
0.000 4.853 12.398
3.345 1.618 1.361
5.018 6.386 4.378
5.018 3.150 9.381
1.673 3.320 4.378
1.673 0.085 9.381

GGA-PBE DyCo5B3, optimized geometry; ΔE_f = -274 meV per atom; total DFT energy (no corrections) = -6.96 eV/atom; density of states at the Fermi level = 17.74 states/eV/cell
1.0
-0.068 -1.791 2.934
-0.972 -3.648 -4.265
10.125 -1.735 -0.824
Co B Dy
10 6 2
Cartesian
2.710 -4.663 -2.784
9.058 -3.448 -1.895
0.027 -3.727 -0.260
0.000 0.000 0.000
5.063 -0.868 -0.412
6.375 -2.511 0.630
8.524 -2.880 0.455
5.321 -2.808 -1.591
3.764 -4.367 -0.564
0.561 -4.295 -2.609
4.358 -2.753 0.435
4.727 -4.421 -2.590
7.348 -2.414 -1.303
1.737 -4.760 -0.851
0.165 -2.035 0.776
8.920 -5.140 -2.931
6.885 -5.243 -1.027
2.200 -1.931 -1.128

GGA-PBE Sr2PS, optimized geometry; total DFT energy (no corrections) = -4.38 eV/atom; ΔE to the lowest computed polymorph = 0 meV/atom; ΔE_f (raw) = -1.152 eV/atom; density of states at the Fermi level = 3.97 states/eV/cell
1.0
0.000 3.716 3.716
3.716 0.000 3.716
3.716 3.716 0.000
Sr S P
2 1 1
Cartesian
5.574 5.574 5.574
1.858 1.858 1.858
3.716 3.716 3.716
0.000 0.000 0.000

GGA-PBE Tm4AsPdSe2, optimized geometry; total DFT energy (no corrections) = -5.75 eV/atom; ΔE_f (raw) = -1.411 eV/atom; density of states at the Fermi level = 4.57 states/eV/cell
1.0
-1.746 1.969 3.009
-3.703 -5.839 1.673
3.683 -3.768 4.604
As Se Tm Pd
1 2 4 1
Cartesian
-0.010 -4.803 3.138
3.683 -3.768 4.604
0.969 -0.899 3.806
0.918 -3.350 5.381
-2.684 -4.288 3.905
0.067 -7.163 4.727
-1.832 -0.475 4.558
-2.724 -1.935 2.341

GGA-PBE ErTlCo, optimized geometry; ΔE_f = -237 meV per atom; total DFT energy (no corrections) = -4.92 eV/atom; density of states at the Fermi level = 4.60 states/eV/cell
1.0
3.816 -0.002 0.563
1.864 3.329 0.562
0.270 0.161 11.176
Er Co Tl
2 2 2
Cartesian
2.124 0.399 7.939
2.652 0.707 4.432
2.358 2.772 6.374
4.282 1.662 6.559
2.994 3.143 2.125
1.721 2.400 10.618

GGA-PBE TaFeAg, optimized geometry; ΔE_f = 1009 meV per atom; total DFT energy (no corrections) = -6.71 eV/atom; ΔE to the lowest computed polymorph = 773 meV/atom; density of states at the Fermi level = 0.53 states/eV/cell
1.0
4.269 0.000 0.000
2.135 3.697 0.000
2.135 1.232 3.486
Ag Ta Fe
1 1 1
Cartesian
0.000 0.000 0.000
6.404 3.697 2.614
4.269 2.465 1.743

Copy entry 3 word for word.
GGA-PBE PmScBi3, optimized geometry; ΔE_f = -598 meV per atom; total DFT energy (no corrections) = -5.14 eV/atom; density of states at the Fermi level = 9.82 states/eV/cell
1.0
6.690 0.000 0.000
0.000 6.471 0.000
0.000 0.000 13.759
Bi Sc Pm
12 4 4
Cartesian
1.673 0.848 12.732
5.018 5.622 1.026
1.673 4.084 1.026
1.673 0.015 3.378
3.345 1.618 6.830
3.345 4.853 6.929
5.018 6.456 10.381
0.000 1.618 6.830
0.000 4.853 6.929
5.018 3.220 3.378
1.673 3.250 10.381
5.018 2.387 12.732
3.345 4.853 12.398
0.000 1.618 1.361
0.000 4.853 12.398
3.345 1.618 1.361
5.018 6.386 4.378
5.018 3.150 9.381
1.673 3.320 4.378
1.673 0.085 9.381